SnTeAuO6 | PBE-GGA | optimized geometry

a b c (Å): 5.398 5.398 9.617
angles (deg): 90.00 90.00 120.00
Element x y z (fractional)
O (0.645, 0.017, 0.363)
O (0.355, 0.983, 0.637)
O (0.017, 0.645, 0.863)
O (0.627, 0.983, 0.863)
O (0.017, 0.373, 0.637)
O (0.373, 0.017, 0.137)
O (0.373, 0.355, 0.363)
O (0.355, 0.373, 0.863)
O (0.983, 0.627, 0.363)
O (0.983, 0.355, 0.137)
O (0.627, 0.645, 0.637)
O (0.645, 0.627, 0.137)
Au (0.000, 0.000, 0.000)
Au (0.000, 0.000, 0.500)
Te (0.667, 0.333, 0.250)
Te (0.333, 0.667, 0.750)
Sn (0.667, 0.333, 0.750)
Sn (0.333, 0.667, 0.250)

Summary:
Density of states at the Fermi level in states/eV per atom: 0.494
M_tot in μB per atom: 0.023
Formation energy from raw total energies in kJ per mole of atoms: -78.1

SrAuO3 | PBE-GGA | optimized geometry

a b c (Å): 7.306 6.852 7.306
angles (deg): 90.05 64.83 90.06
Element x y z (fractional)
O (0.162, 0.531, 0.081)
O (0.598, 0.832, 0.098)
O (0.081, 0.969, 0.162)
O (0.419, 0.469, 0.338)
O (0.402, 0.168, 0.902)
O (0.919, 0.031, 0.838)
O (0.338, 0.031, 0.419)
O (0.098, 0.668, 0.598)
O (0.581, 0.531, 0.662)
O (0.838, 0.469, 0.919)
O (0.662, 0.969, 0.581)
O (0.902, 0.332, 0.402)
Au (0.373, 0.750, 0.373)
Au (0.627, 0.250, 0.627)
Au (0.127, 0.250, 0.127)
Au (0.873, 0.750, 0.873)
Sr (0.382, 0.798, 0.882)
Sr (0.882, 0.702, 0.382)
Sr (0.118, 0.298, 0.618)
Sr (0.618, 0.202, 0.118)

Summary:
Density of states at the Fermi level in states/eV per atom: 0.435
M_tot in μB per atom: 0.202
Formation energy from raw total energies in kJ per mole of atoms: -101.9

Sr12Au3O5 | PBE-GGA | optimized geometry

a b c (Å): 14.478 14.478 14.478
angles (deg): 109.47 109.47 109.47
Element x y z (fractional)
Sr (0.516, 0.200, 0.118)
Sr (0.316, 0.516, 0.398)
Sr (0.382, 0.398, 0.081)
Sr (0.816, 0.919, 0.300)
Sr (0.516, 0.316, 0.898)
Sr (0.919, 0.102, 0.618)
Sr (0.618, 0.602, 0.919)
Sr (0.184, 0.102, 0.984)
Sr (0.184, 0.081, 0.700)
Sr (0.102, 0.184, 0.484)
Sr (0.102, 0.919, 0.118)
Sr (0.316, 0.800, 0.419)
Sr (0.081, 0.898, 0.382)
Sr (0.300, 0.419, 0.816)
Sr (0.398, 0.382, 0.581)
Sr (0.200, 0.516, 0.618)
Sr (0.581, 0.700, 0.684)
Sr (0.484, 0.800, 0.882)
Sr (0.419, 0.118, 0.602)
Sr (0.602, 0.984, 0.684)
Sr (0.700, 0.581, 0.184)
Sr (0.016, 0.618, 0.700)
Sr (0.484, 0.684, 0.102)
Sr (0.200, 0.684, 0.081)
Sr (0.898, 0.816, 0.516)
Sr (0.118, 0.419, 0.102)
Sr (0.898, 0.081, 0.882)
Sr (0.581, 0.882, 0.398)
Sr (0.800, 0.316, 0.919)
Sr (0.118, 0.700, 0.516)
Sr (0.700, 0.118, 0.016)
Sr (0.919, 0.816, 0.800)
Sr (0.602, 0.618, 0.419)
Sr (0.618, 0.016, 0.200)
Sr (0.684, 0.484, 0.602)
Sr (0.398, 0.016, 0.316)
Sr (0.016, 0.398, 0.816)
Sr (0.984, 0.602, 0.184)
Sr (0.684, 0.200, 0.581)
Sr (0.081, 0.184, 0.200)
Sr (0.882, 0.581, 0.898)
Sr (0.816, 0.898, 0.016)
Sr (0.419, 0.300, 0.316)
Sr (0.882, 0.300, 0.484)
Sr (0.800, 0.484, 0.382)
Sr (0.382, 0.984, 0.800)
Sr (0.300, 0.882, 0.984)
Sr (0.984, 0.382, 0.300)
O (0.875, 0.250, 0.625)
O (0.625, 0.875, 0.250)
O (0.750, 0.125, 0.875)
O (0.000, 0.500, 0.000)
O (0.000, 0.000, 0.000)
O (0.250, 0.375, 0.625)
O (0.500, 0.500, 0.500)
O (0.125, 0.375, 0.250)
O (0.125, 0.750, 0.375)
O (0.875, 0.625, 0.750)
O (0.000, 0.500, 0.500)
O (0.625, 0.750, 0.875)
O (0.500, 0.000, 0.500)
O (0.000, 0.000, 0.500)
O (0.750, 0.625, 0.375)
O (0.500, 0.500, 0.000)
O (0.250, 0.875, 0.125)
O (0.375, 0.125, 0.750)
O (0.375, 0.250, 0.125)
O (0.500, 0.000, 0.000)
Au (0.125, 0.875, 0.750)
Au (0.875, 0.125, 0.250)
Au (0.625, 0.250, 0.375)
Au (0.625, 0.375, 0.750)
Au (0.125, 0.250, 0.875)
Au (0.875, 0.750, 0.125)
Au (0.375, 0.625, 0.250)
Au (0.750, 0.875, 0.625)
Au (0.250, 0.625, 0.875)
Au (0.250, 0.125, 0.375)
Au (0.750, 0.375, 0.125)
Au (0.375, 0.750, 0.625)

Summary:
Density of states at the Fermi level in states/eV per atom: 0.469
M_tot in μB per atom: 0.000
Formation energy from raw total energies in kJ per mole of atoms: -144.1

SrAuO3 | PBE-GGA | optimized geometry

a b c (Å): 4.090 4.090 4.090
angles (deg): 90.00 90.00 90.00
Element x y z (fractional)
O (0.500, 0.000, 0.000)
O (0.000, 0.500, 0.000)
O (0.000, 0.000, 0.500)
Au (0.000, 0.000, 0.000)
Sr (0.500, 0.500, 0.500)

Summary:
Density of states at the Fermi level in states/eV per atom: 0.228
M_tot in μB per atom: 0.000
Formation energy from raw total energies in kJ per mole of atoms: -96.1

SrAu3O | PBE-GGA | optimized geometry

a b c (Å): 5.949 5.949 5.949
angles (deg): 90.00 90.00 90.00
Element x y z (fractional)
Au (0.000, 0.500, 0.000)
Au (0.000, 0.000, 0.500)
Au (0.500, 0.000, 0.000)
O (0.500, 0.500, 0.500)
Sr (0.000, 0.000, 0.000)

Summary:
Density of states at the Fermi level in states/eV per atom: 1.988
M_tot in μB per atom: 0.596
Formation energy from raw total energies in kJ per mole of atoms: 108.6
Excess energy over the best structure of this formula in the dataset in eV/f.u.: 6.08

SrAuO3 | PBE-GGA | optimized geometry

a b c (Å): 5.941 5.941 7.125
angles (deg): 65.36 65.36 60.00
Element x y z (fractional)
O (0.925, 0.575, 0.250)
O (0.075, 0.425, 0.750)
O (0.750, 0.075, 0.750)
O (0.250, 0.925, 0.250)
O (0.575, 0.250, 0.250)
O (0.425, 0.750, 0.750)
Sr (0.500, 0.500, 0.500)
Sr (0.000, 0.000, 0.000)
Au (0.750, 0.750, 0.750)
Au (0.250, 0.250, 0.250)

Summary:
Density of states at the Fermi level in states/eV per atom: 0.998
M_tot in μB per atom: 0.209
Formation energy from raw total energies in kJ per mole of atoms: -81.9

SrAuO3 | PBE-GGA | optimized geometry

a b c (Å): 4.537 4.537 4.537
angles (deg): 90.00 90.00 90.00
Element x y z (fractional)
Au (0.500, 0.500, 0.500)
O (0.500, 0.000, 0.000)
O (0.000, 0.000, 0.500)
O (0.000, 0.500, 0.000)
Sr (0.000, 0.000, 0.000)

Summary:
Density of states at the Fermi level in states/eV per atom: 1.474
M_tot in μB per atom: 0.601
Formation energy from raw total energies in kJ per mole of atoms: 17.9

SrAuO | PBE-GGA | optimized geometry

a b c (Å): 5.248 4.011 7.048
angles (deg): 106.53 81.44 90.00
Element x y z (fractional)
Au (0.659, 0.065, 0.130)
Au (0.341, 0.935, 0.870)
Sr (0.162, 0.645, 0.290)
Sr (0.838, 0.355, 0.710)
O (0.100, 0.825, 0.650)
O (0.900, 0.175, 0.350)

Summary:
Density of states at the Fermi level in states/eV per atom: 0.000
M_tot in μB per atom: 0.000
Formation energy from raw total energies in kJ per mole of atoms: -153.6

Sr3AuO5 | PBE-GGA | optimized geometry

a b c (Å): 6.867 6.867 7.927
angles (deg): 115.67 115.67 90.00
Element x y z (fractional)
Au (0.250, 0.750, 0.500)
Au (0.750, 0.250, 0.500)
Sr (0.670, 0.170, 0.000)
Sr (0.250, 0.250, 0.500)
Sr (0.330, 0.830, 0.000)
Sr (0.170, 0.330, 0.000)
Sr (0.750, 0.750, 0.500)
Sr (0.830, 0.670, 0.000)
O (0.726, 0.226, 0.739)
O (0.487, 0.274, 0.261)
O (0.987, 0.487, 0.261)
O (0.513, 0.726, 0.739)
O (0.226, 0.013, 0.739)
O (0.500, 0.500, 0.000)
O (0.274, 0.774, 0.261)
O (0.000, 0.000, 0.000)
O (0.013, 0.513, 0.739)
O (0.774, 0.987, 0.261)

Summary:
Density of states at the Fermi level in states/eV per atom: 0.616
M_tot in μB per atom: 0.115
Formation energy from raw total energies in kJ per mole of atoms: -158.3

Sr2AuO4 | PBE-GGA | optimized geometry

a b c (Å): 6.639 6.639 6.639
angles (deg): 113.48 113.48 101.71
Element x y z (fractional)
Sr (0.875, 0.625, 0.250)
Sr (0.375, 0.125, 0.750)
Sr (0.375, 0.625, 0.250)
Sr (0.375, 0.625, 0.750)
Au (0.750, 0.250, 0.500)
Au (0.000, 0.000, 0.000)
O (0.070, 0.344, 0.274)
O (0.680, 0.453, 0.774)
O (0.070, 0.797, 0.726)
O (0.547, 0.320, 0.226)
O (0.680, 0.906, 0.226)
O (0.203, 0.930, 0.274)
O (0.656, 0.930, 0.726)
O (0.094, 0.320, 0.774)

Summary:
Density of states at the Fermi level in states/eV per atom: 0.879
M_tot in μB per atom: 0.100
Formation energy from raw total energies in kJ per mole of atoms: -122.0

SrAu3O | PBE-GGA | optimized geometry

a b c (Å): 4.708 4.708 4.708
angles (deg): 90.00 90.00 90.00
Element x y z (fractional)
Au (0.000, 0.500, 0.000)
Au (0.000, 0.000, 0.500)
Au (0.500, 0.000, 0.000)
Sr (0.500, 0.500, 0.500)
O (0.000, 0.000, 0.000)

Summary:
Density of states at the Fermi level in states/eV per atom: 0.720
M_tot in μB per atom: 0.000
Formation energy from raw total energies in kJ per mole of atoms: -8.7
Excess energy over the best structure of this formula in the dataset in eV/f.u.: 0.00

Sr5AuO6 | PBE-GGA | optimized geometry

a b c (Å): 6.194 6.212 6.372
angles (deg): 60.82 82.38 74.22
Element x y z (fractional)
Sr (0.500, 0.838, 0.324)
Sr (0.500, 0.500, 0.000)
Sr (0.000, 0.672, 0.656)
Sr (0.000, 0.328, 0.344)
Sr (0.500, 0.162, 0.676)
O (0.783, 0.771, 0.000)
O (0.727, 0.100, 0.350)
O (0.273, 0.549, 0.350)
O (0.273, 0.900, 0.650)
O (0.217, 0.229, 0.000)
O (0.727, 0.451, 0.650)
Au (0.000, 0.000, 0.000)

Summary:
Density of states at the Fermi level in states/eV per atom: 0.238
M_tot in μB per atom: 0.080
Formation energy from raw total energies in kJ per mole of atoms: -213.2

| no. | calculated total energy (eV per atom) |
| --- | --- |
| 1 | -5.273 |
| 2 | -5.023 |
| 3 | -4.234 |
| 4 | -4.963 |
| 5 | -2.169 |
| 6 | -4.816 |
| 7 | -3.782 |
| 8 | -4.897 |
| 9 | -5.320 |
| 10 | -5.047 |
| 11 | -3.385 |
| 12 | -5.663 |